This record from the Alexandria database describes a geometry-optimized KSmEuWO6 structure. The functional is GGA+U.

The structure belongs to space group F-43m (No. 216); the cell edges are 8.487, 8.487 and 8.487 Å and the angles 90.00°, 90.00° and 90.00°. The inequivalent atoms are K at (0.000, 0.000, 0.000), Sm at (0.250, 0.250, 0.750), Eu at (0.000, 0.000, 0.500), W at (0.250, 0.250, 0.250) and O at (0.020, 0.250, 0.250).

Its density of states at the Fermi level is 0.049 states/eV/atom. The calculated density is 6.8 g/cm3. For the total magnetization, the calculation gives 7.00 μB per formula unit. The value obtained for the total energy is -7.877 eV per atom.